Entry from Alexandria via LeMat-Bulk: crystalline KRb3B at its relaxed geometry (PBE-GGA).

Computed properties:
Relative energy among the computed polymorphs = 0.558 eV/atom
Energy of formation = 1.315 eV/atom
VASP energy = -4.10 eV for the cell shown
Volume = 486.3 Å³/f.u.

a = 7.8641 Å, b = 7.8641 Å, c = 7.8641 Å
α = 90.00°, β = 90.00°, γ = 90.00°
Sites, in units of the cell vectors:
K 0.0000 0.0000 0.0000
Rb 0.0000 0.0000 0.5000
Rb 0.0000 0.5000 0.0000
Rb 0.5000 0.0000 0.0000
B 0.5000 0.5000 0.5000

=====

Entry from Alexandria via LeMat-Bulk: crystalline KRb2B at its relaxed geometry (PBE-GGA).

Computed properties:
Energy of formation = 0.931 eV/atom
VASP energy = -11.97 eV for the cell shown
Volume = 230.9 Å³/f.u.

a = 9.1213 Å, b = 9.1213 Å, c = 9.1213 Å
α = 96.85°, β = 96.85°, γ = 139.59°
Sites, in units of the cell vectors:
K 0.0000 0.0000 0.0000
K 0.7500 0.2500 0.5000
Rb 0.2760 0.6250 0.1510
Rb 0.3750 0.5260 0.6510
Rb 0.4740 0.1250 0.8490
Rb 0.8750 0.7240 0.3490
B 0.2500 0.7500 0.5000
B 0.5000 0.5000 0.0000

=====

Entry from Alexandria via LeMat-Bulk: crystalline KRbB3 at its relaxed geometry (PBE-GGA).

Computed properties:
Relative energy among the computed polymorphs = 0.096 eV/atom
Energy of formation = 2.884 eV/atom
VASP energy = -7.68 eV for the cell shown
Volume = 162.6 Å³/f.u.

a = 5.4583 Å, b = 5.4583 Å, c = 5.4583 Å
α = 90.00°, β = 90.00°, γ = 90.00°
Sites, in units of the cell vectors:
K 0.0000 0.0000 0.0000
Rb 0.5000 0.5000 0.5000
B 0.0000 0.5000 0.5000
B 0.5000 0.0000 0.5000
B 0.5000 0.5000 0.0000

=====

Please write out number 2 again, unchanged.
Entry from Alexandria via LeMat-Bulk: crystalline KRb2B at its relaxed geometry (PBE-GGA).

Computed properties:
Energy of formation = 0.931 eV/atom
VASP energy = -11.97 eV for the cell shown
Volume = 230.9 Å³/f.u.

a = 9.1213 Å, b = 9.1213 Å, c = 9.1213 Å
α = 96.85°, β = 96.85°, γ = 139.59°
Sites, in units of the cell vectors:
K 0.0000 0.0000 0.0000
K 0.7500 0.2500 0.5000
Rb 0.2760 0.6250 0.1510
Rb 0.3750 0.5260 0.6510
Rb 0.4740 0.1250 0.8490
Rb 0.8750 0.7240 0.3490
B 0.2500 0.7500 0.5000
B 0.5000 0.5000 0.0000

=====

Question: What is the energy of formation in the second record?
Answer: 0.931 eV/atom

=====

Copy entry 2 word for word.
Entry from Alexandria via LeMat-Bulk: crystalline KRb2B at its relaxed geometry (PBE-GGA).

Computed properties:
Energy of formation = 0.931 eV/atom
VASP energy = -11.97 eV for the cell shown
Volume = 230.9 Å³/f.u.

a = 9.1213 Å, b = 9.1213 Å, c = 9.1213 Å
α = 96.85°, β = 96.85°, γ = 139.59°
Sites, in units of the cell vectors:
K 0.0000 0.0000 0.0000
K 0.7500 0.2500 0.5000
Rb 0.2760 0.6250 0.1510
Rb 0.3750 0.5260 0.6510
Rb 0.4740 0.1250 0.8490
Rb 0.8750 0.7240 0.3490
B 0.2500 0.7500 0.5000
B 0.5000 0.5000 0.0000

=====

Question: energy of formation of number 1 (KRb3B)?
Answer: 1.315 eV/atom